{"formula": "RbNa2Nb", "functional": "PBE", "state": "optimized geometry", "final_energy_ha_per_atom": -0.0820, "ef_mev_per_atom": 1188, "sg": "I-42d", "m_tot_mub_per_cell": 9.3, "lattice_angstrom": [[9.4915, 0.0000, 0.0000], [0.0000, 9.4915, 0.0000], [4.7457, 4.7457, 3.6593]], "species": ["Na", "Na", "Na", "Na", "Nb", "Nb", "Rb", "Rb"], "fractional_positions": [[0.6615, 0.1250, 0.2500], [0.0885, 0.6250, 0.2500], [0.3750, 0.3385, 0.7500], [0.8750, 0.9115, 0.7500], [0.0000, 0.0000, 0.0000], [0.7500, 0.2500, 0.5000], [0.5000, 0.5000, 0.0000], [0.2500, 0.7500, 0.5000]]}